# 1
CsDyP2S8 | PBE | optimized geometry

Output
Energy relative to the elements, uncorrected, eV per atom: -0.6015
Spin magnetization, Bohr magnetons per cell: 2.04
Uncorrected energy, eV/atom: -4.7094

a = 6.2370 Å, b = 6.2370 Å, c = 9.8908 Å
α = 90.00°, β = 90.00°, γ = 120.00°
Last column: nearest neighbours and their distance in Å.
Space group P-3 (No. 147)
Asymmetric unit:
Cs  0.0000  0.0000  0.0000 x1  12 S 3.68-4.06
Dy  0.0000  0.0000  0.5000 x1  6 S 2.78
P  0.3333  0.6667  0.7182 x2  4 S 2.03-2.05
S  0.0030  0.3670  0.6600 x6  1 P 2.05
S  0.3333  0.6667  0.9231 x2  1 P 2.03



# 2
Cs4Dy3PaS8 | PBE | optimized geometry

Output
Energy relative to the elements, uncorrected, eV per atom: -1.7171
Spin magnetization, Bohr magnetons per cell: 4.82
Uncorrected energy, eV/atom: -5.4506

a = 8.2108 Å, b = 8.2108 Å, c = 24.2462 Å
α = 90.00°, β = 90.00°, γ = 120.00°
Last column: nearest neighbours and their distance in Å.
Space group R-3m (No. 166, hexagonal axes)
Asymmetric unit:
Cs  0.0000  0.0000  0.0000 x3  6 S 3.50
Cs  0.0000  0.5000  0.0000 x9  6 S 3.49-3.50
Dy  0.0000  0.5000  0.5000 x9  6 S 2.79
Pa  0.0000  0.0000  0.5000 x3  6 S 2.78
S  0.0000  0.0000  0.2271 x6  3 Dy 2.79
S  0.0014  0.5007  0.2274 x18  1 Pa 2.78, 2 Dy 2.79



# 3
Cs4DyPa3S12 | PBE | optimized geometry

Output
Energy relative to the elements, uncorrected, eV per atom: -1.4964
Spin magnetization, Bohr magnetons per cell: 0.00
Uncorrected energy, eV/atom: -5.7981

a = 10.6637 Å, b = 10.6637 Å, c = 10.6637 Å
α = 90.00°, β = 90.00°, γ = 90.00°
Last column: nearest neighbours and their distance in Å.
Space group Im-3m (No. 229)
Asymmetric unit:
Cs  0.2500  0.2500  0.2500 x8  12 S 3.77
Dy  0.0000  0.0000  0.0000 x2  6 S 2.74
Pa  0.0000  0.0000  0.5000 x6  6 S 2.59-2.67
S  0.0000  0.0000  0.2571 x12  1 Pa 2.59, 1 Dy 2.74
S  0.0000  0.2500  0.5000 x12  2 Pa 2.67



# 4
Cs3Dy2PaS6 | PBE | optimized geometry

Output
Energy relative to the elements, uncorrected, eV per atom: -1.6833
Spin magnetization, Bohr magnetons per cell: 3.06
Uncorrected energy, eV/atom: -5.5188

a = 7.0956 Å, b = 12.2868 Å, c = 8.4314 Å
α = 90.00°, β = 106.29°, γ = 90.00°
Last column: nearest neighbours and their distance in Å.
Space group C2/m (No. 12)
Asymmetric unit:
Cs  0.0000  0.0000  0.0000 x2  6 S 3.49-3.50
Cs  0.0000  0.3318  0.0000 x4  6 S 3.49-3.50
Dy  0.0000  0.1665  0.5000 x4  6 S 2.80
Pa  0.0000  0.5000  0.5000 x2  6 S 2.77
S  0.2260  0.3346  0.6821 x8  1 Pa 2.77, 2 Dy 2.80
S  0.2302  0.0000  0.6826 x4  1 Pa 2.77, 2 Dy 2.80